Record 1
A relaxed SmPuPa crystal. Source: Alexandria, functional GGA-PBE.

Structure (POSCAR):
```
SmPuPa
1.0
-2.809 -0.001 -1.852
-2.589 -2.437 3.928
0.132 5.292 -0.203
Pa Sm Pu
1 1 1
Cartesian
-2.150 0.140 2.242
-2.647 2.716 -0.061
-0.468 0.000 -0.309
```

* E_tot: -27.8 eV/cell
* N(E_F): 6.56 states/eV per cell
* E_form: 263 meV per atom



Record 2
A relaxed Al2TlSiC crystal. Source: Alexandria, functional GGA-PBE.

Structure (POSCAR):
```
Al2TlSiC
1.0
4.772 0.000 0.000
0.000 5.322 0.000
0.000 0.000 4.772
C Tl Si Al
1 1 1 2
Cartesian
2.386 2.661 2.386
0.000 2.661 0.000
0.000 0.000 0.000
0.000 0.000 2.386
2.386 0.000 0.000
```

* E_tot: -15.8 eV/cell
* N(E_F): 2.38 states/eV per cell
* energy relative to the elements, uncorrected: 1.73 eV/atom



Record 3
A relaxed Tb2Er7In3 crystal. Source: Alexandria, functional GGA-PBE.

Structure (POSCAR):
```
Tb2Er7In3
1.0
-1.193 -2.353 -2.508
0.983 -4.148 3.423
-16.826 3.507 4.712
Tb Er In
2 7 3
Cartesian
-10.171 -1.139 5.905
-5.673 0.498 2.231
-13.970 1.225 5.494
-6.913 -1.424 4.624
0.000 0.000 0.000
-1.874 -1.866 2.642
-3.542 -0.918 -0.096
-13.495 -2.076 5.723
-8.931 0.783 3.512
-0.105 -3.250 0.458
-4.951 -2.825 2.363
-12.086 -0.169 3.264
```

* E_tot: -50.8 eV/cell
* N(E_F): 16.30 states/eV per cell
* E_form: -115 meV per atom



Record 4
A relaxed Sb2HPd crystal. Source: Alexandria, functional GGA-PBE.

Structure (POSCAR):
```
Sb2HPd
1.0
2.882 0.339 3.622
-1.319 2.303 3.807
-0.911 -2.318 3.916
Sb Pd H
2 1 1
Cartesian
0.163 0.081 2.836
0.489 0.243 8.509
0.326 0.162 5.672
0.000 0.000 0.000
```

* E_tot: -16.3 eV/cell
* N(E_F): 1.65 states/eV per cell



Record 5
A relaxed MgNiRu2 crystal. Source: Alexandria, functional GGA-PBE.

Structure (POSCAR):
```
MgNiRu2
1.0
-0.507 -2.783 -0.554
1.934 0.425 -3.903
3.891 -1.069 1.812
Mg Ni Ru
1 1 2
Cartesian
1.692 -1.926 0.629
2.912 -0.322 -1.045
0.000 0.000 0.000
0.713 -1.179 -2.228
```

* E_tot: -25.2 eV/cell
* N(E_F): 6.04 states/eV per cell
* E_form: 189 meV per atom



Record 6
A relaxed NpVGa crystal. Source: Alexandria, functional GGA-PBE.

Structure (POSCAR):
```
NpVGa
1.0
2.510 0.000 0.000
0.000 4.741 0.000
0.000 -2.371 4.106
Np Ga V
1 1 1
Cartesian
0.837 0.000 2.737
2.092 2.371 1.369
2.092 0.000 0.000
```

* E_tot: -24.6 eV/cell
* N(E_F): 4.70 states/eV per cell
* E_form: 167 meV per atom